[1]
Entry from Alexandria: a geometry-optimized NaP2PbO structure (PBE).

a b c (Å): 5.433 5.433 4.356
angles (deg): 90.00 90.00 90.00
Site moments in Bohr magnetons follow the coordinates.
Element x y z (fractional)
Pb (0.000, 0.000, 0.000)  0.01
P (0.000, 0.500, 0.000)  0.56
P (0.500, 0.000, 0.000)  0.56
O (0.000, 0.000, 0.500)  0.28
Na (0.500, 0.500, 0.500)  0.01

Values from the calculation:
**Distance to the lowest polymorph of the same formula**: 0 meV per atom
**Size of the total moment**: 2.93 μB per formula unit
**Density of states at the Fermi level**: 2.8 states/eV/cell
**Crystal system**: tetragonal

[2]
Entry from Alexandria: a geometry-optimized NaPPbO2 structure (PBE).

a b c (Å): 4.373 4.373 5.364
angles (deg): 90.00 90.00 90.00
Site moments in Bohr magnetons follow the coordinates.
Element x y z (fractional)
Pb (0.000, 0.000, 0.000)  -0.03
P (0.000, 0.000, 0.500)  0.62
O (0.000, 0.500, 0.000)  0.30
O (0.500, 0.000, 0.000)  0.30
Na (0.500, 0.500, 0.500)  0.01

Values from the calculation:
**Distance to the lowest polymorph of the same formula**: 0 meV per atom
**Size of the total moment**: 2.12 μB per formula unit
**Density of states at the Fermi level**: 2.2 states/eV/cell
**Crystal system**: tetragonal

[3]
Entry from Alexandria: a geometry-optimized Na2P2PbO7 structure (PBE).

a b c (Å): 5.613 7.064 9.615
angles (deg): 106.48 95.28 110.15
Element x y z (fractional)
Na (0.347, 0.624, 0.767)
Na (0.076, 0.283, 0.004)
Na (0.924, 0.717, 0.996)
Na (0.653, 0.376, 0.233)
P (0.482, 0.850, 0.153)
P (0.736, 0.364, 0.638)
P (0.264, 0.636, 0.362)
P (0.518, 0.150, 0.847)
Pb (0.863, 0.883, 0.632)
Pb (0.137, 0.117, 0.368)
O (0.375, 0.684, 0.525)
O (0.499, 0.213, 0.695)
O (0.030, 0.695, 0.334)
O (0.232, 0.045, 0.852)
O (0.345, 0.010, 0.177)
O (0.625, 0.316, 0.475)
O (0.788, 0.597, 0.736)
O (0.323, 0.648, 0.021)
O (0.501, 0.787, 0.305)
O (0.677, 0.352, 0.979)
O (0.970, 0.305, 0.666)
O (0.768, 0.955, 0.148)
O (0.212, 0.403, 0.264)
O (0.655, 0.990, 0.823)

Values from the calculation:
**Distance to the lowest polymorph of the same formula**: 0 meV per atom
**Size of the total moment**: 0.00 μB per formula unit
**Density of states at the Fermi level**: 0.0 states/eV/cell
**Crystal system**: triclinic

[4]
Entry from Alexandria: a geometry-optimized Na2PPbO4 structure (PBE).

a b c (Å): 5.468 5.468 5.468
angles (deg): 110.13 109.14 109.14
Site moments in Bohr magnetons follow the coordinates.
Element x y z (fractional)
Na (0.500, 0.750, 0.250)  0.03
Na (0.000, 0.000, 0.000)  0.01
P (0.000, 0.500, 0.500)  0.00
Pb (0.500, 0.250, 0.750)  0.31
O (0.721, 0.522, 0.500)  0.02
O (0.978, 0.199, 0.478)  0.02
O (0.022, 0.500, 0.221)  0.02
O (0.279, 0.779, 0.801)  0.02

Values from the calculation:
**Electronic total energy**: -45.5 eV/cell
**Size of the total moment**: 1.00 μB per formula unit
**Crystal system**: tetragonal

[5]
Entry from Alexandria: a geometry-optimized NaPPbO2 structure (PBE).

a b c (Å): 4.234 4.234 5.185
angles (deg): 90.00 90.00 90.00
Site moments in Bohr magnetons follow the coordinates.
Element x y z (fractional)
Pb (0.500, 0.500, 0.500)  -0.03
P (0.000, 0.000, 0.500)  0.39
O (0.000, 0.500, 0.000)  0.92
O (0.500, 0.000, 0.000)  0.92
Na (0.000, 0.000, 0.000)  0.01

Values from the calculation:
**Distance to the lowest polymorph of the same formula**: 451 meV per atom
**Size of the total moment**: 2.95 μB per formula unit
**Density of states at the Fermi level**: 3.6 states/eV/cell
**Crystal system**: tetragonal

[6]
Entry from Alexandria: a geometry-optimized Na4P6PbO18 structure (PBE).

a b c (Å): 7.656 7.920 7.922
angles (deg): 119.33 98.89 97.00
Element x y z (fractional)
Na (0.174, 0.336, 0.512)
Na (0.834, 0.661, 0.496)
Na (0.491, 0.515, 0.992)
Na (0.145, 0.789, 0.968)
P (0.777, 0.348, 0.666)
P (0.220, 0.661, 0.333)
P (0.525, 0.213, 0.282)
P (0.474, 0.781, 0.710)
P (0.220, 0.027, 0.705)
P (0.775, 0.972, 0.306)
Pb (0.878, 0.192, 0.013)
O (0.251, 0.236, 0.751)
O (0.746, 0.765, 0.263)
O (0.323, 0.173, 0.225)
O (0.679, 0.833, 0.767)
O (0.187, 0.883, 0.464)
O (0.806, 0.121, 0.546)
O (0.073, 0.947, 0.772)
O (0.922, 0.052, 0.239)
O (0.370, 0.658, 0.773)
O (0.644, 0.323, 0.214)
O (0.249, 0.634, 0.141)
O (0.738, 0.378, 0.858)
O (0.074, 0.514, 0.333)
O (0.929, 0.489, 0.670)
O (0.413, 0.678, 0.468)
O (0.588, 0.330, 0.527)
O (0.413, 0.991, 0.785)
O (0.581, 0.002, 0.220)

Values from the calculation:
**Electronic total energy**: -193.4 eV/cell
**Size of the total moment**: 0.00 μB per formula unit
**Density of states at the Fermi level**: 0.0 states/eV/cell
**Crystal system**: triclinic